[1]
BeCu2Br | GGA-PBE | optimized geometry

Unit cell a=3.7225 b=3.7225 c=6.4803 alpha=107.47 beta=107.47 gamma=60.24
Sites, in units of the cell vectors:
Be (0.0000, 0.0000, 0.0000)
Cu (0.3724, 0.3724, 0.1110)
Cu (0.6276, 0.6276, 0.8890)
Br (0.5000, 0.5000, 0.5000)

Properties
The polymorph energy (0 for the lowest one) is 62 meV per atom. For the total DFT energy (no corrections), the calculation gives -12.87 eV/cell. As for the space group: C2/m. As for the total moment: 0.00 μB per formula unit. The mass density is 4.91 g/cm³.


[2]
BeCuBr2 | GGA-PBE | optimized geometry

Unit cell a=3.6855 b=3.6855 c=10.4976 alpha=90.00 beta=90.00 gamma=128.32
Sites, in units of the cell vectors:
Be (0.0000, 0.0000, 0.0000)
Cu (0.0000, 0.0000, 0.5000)
Br (0.5000, 0.5000, 0.1509)
Br (0.5000, 0.5000, 0.8491)

Properties
The polymorph energy (0 for the lowest one) is 299 meV per atom. For the total DFT energy (no corrections), the calculation gives -10.64 eV/cell. As for the space group: Cmmm. As for the total moment: 0.00 μB per formula unit. The mass density is 3.45 g/cm³.


[3]
BeCuBr2 | GGA-PBE | optimized geometry

Unit cell a=4.7062 b=4.7062 c=4.7062 alpha=60.00 beta=60.00 gamma=60.00
Sites, in units of the cell vectors:
Be (0.0000, 0.0000, 0.0000)
Cu (0.5000, 0.5000, 0.5000)
Br (0.2500, 0.2500, 0.2500)
Br (0.7500, 0.7500, 0.7500)

Properties
The polymorph energy (0 for the lowest one) is 708 meV per atom. For the total DFT energy (no corrections), the calculation gives -9.00 eV/cell. As for the space group: Fm-3m. As for the total moment: 0.00 μB per formula unit. The mass density is 5.24 g/cm³.


[4]
BeCu2Br | GGA-PBE | optimized geometry

Unit cell a=5.8128 b=5.8128 c=5.8128 alpha=145.70 beta=145.70 gamma=49.30
Sites, in units of the cell vectors:
Be (0.0000, 0.0000, 0.0000)
Cu (0.2500, 0.7500, 0.5000)
Cu (0.7500, 0.2500, 0.5000)
Br (0.5000, 0.5000, 0.0000)

Properties
The polymorph energy (0 for the lowest one) is 485 meV per atom. For the total DFT energy (no corrections), the calculation gives -11.18 eV/cell. As for the space group: I4/mmm. As for the total moment: 0.00 μB per formula unit. The mass density is 5.78 g/cm³.


[5]
BeCuBr2 | GGA-PBE | optimized geometry

Unit cell a=5.5107 b=5.5107 c=5.5107 alpha=144.13 beta=95.98 gamma=94.90
Sites, in units of the cell vectors:
Be (0.0000, 0.0000, 0.0000)
Cu (0.5000, 0.5000, 0.0000)
Br (0.2198, 0.7198, 0.5000)
Br (0.7802, 0.2802, 0.5000)

Properties
The polymorph energy (0 for the lowest one) is 385 meV per atom. For the total DFT energy (no corrections), the calculation gives -10.29 eV/cell. As for the space group: Immm. As for the total moment: 0.00 μB per formula unit. The mass density is 4.14 g/cm³.


[6]
BeCu2Br | GGA-PBE | optimized geometry

Unit cell a=3.3373 b=3.5612 c=5.8867 alpha=90.00 beta=106.14 gamma=90.00
Sites, in units of the cell vectors:
Be (0.0000, 0.0000, 0.0000)
Cu (0.1939, 0.5000, 0.8395)
Cu (0.8061, 0.5000, 0.1605)
Br (0.0000, 0.0000, 0.5000)

Properties
The polymorph energy (0 for the lowest one) is 162 meV per atom. For the total DFT energy (no corrections), the calculation gives -12.48 eV/cell. As for the space group: P2/m. As for the total moment: 0.00 μB per formula unit. The mass density is 5.34 g/cm³.


Energy relative to the elements, uncorrected (computed, eV/f.u.): 0.72; 0.53; 2.17; 2.41; 0.88; 1.12